# KNbW2O9 (PBEsol, relaxed)
data_KNbW2O9
_space_group_name_H-M_alt 'P 1'
_space_group_IT_number 1
_space_group_name_Hall 'P 1'
_cell_length_a 3.935
_cell_length_b 12.884
_cell_length_c 12.876
_cell_angle_alpha 60.09
_cell_angle_beta 89.91
_cell_angle_gamma 89.84
loop_
_atom_site_label
_atom_site_type_symbol
_atom_site_fract_x
_atom_site_fract_y
_atom_site_fract_z
O1 O 0.465 0.622 0.841
K1 K 0.719 0.497 0.499
O2 O 0.464 0.169 0.956
O3 O 0.461 0.494 0.717
K2 K 0.966 0.108 0.183
O4 O 0.949 0.331 0.839
O5 O 0.457 0.050 0.623
Nb1 Nb 0.422 0.664 0.666
O6 O 0.977 0.500 0.000
O7 O 0.466 0.380 0.955
O8 O 0.453 0.294 0.509
O9 O 0.973 0.001 0.505
O10 O 0.465 0.717 0.277
W1 W 0.524 0.497 0.000
O11 O 0.455 0.165 0.387
O12 O 0.467 0.839 0.040
K3 K 0.958 0.794 0.811
O13 O 0.452 0.512 0.285
W2 W 0.403 0.666 0.161
O14 O 0.461 0.841 0.626
O15 O 0.944 0.343 0.338
O16 O 0.463 0.054 0.833
W3 W 0.401 0.329 0.836
W4 W 0.398 0.167 0.665
Nb2 Nb 0.408 0.333 0.335
O17 O 0.469 0.967 0.157
O18 O 0.466 0.623 0.043
Nb3 Nb 0.426 0.831 0.333
O19 O 0.951 0.675 0.155
O20 O 0.453 0.290 0.716
W5 W 0.524 0.998 0.000
O21 O 0.946 0.168 0.670
O22 O 0.470 0.964 0.379
O23 O 0.954 0.674 0.672
O24 O 0.460 0.384 0.164
W6 W 0.519 0.998 0.501
O25 O 0.978 0.004 0.997
O26 O 0.959 0.850 0.326
O27 O 0.468 0.705 0.499
# - E_tot (eV/atom) = -8.9507
# - N(E_F) (states/eV per cell) = 0.00
# - space group = No. 1

=====

# K2YNb5O15 (PBEsol, relaxed)
data_K2YNb5O15
_space_group_name_H-M_alt 'P 1'
_space_group_IT_number 1
_space_group_name_Hall 'P 1'
_cell_length_a 3.937
_cell_length_b 9.251
_cell_length_c 9.251
_cell_angle_alpha 111.82
_cell_angle_beta 90.00
_cell_angle_gamma 90.00
loop_
_atom_site_label
_atom_site_type_symbol
_atom_site_fract_x
_atom_site_fract_y
_atom_site_fract_z
O1 O 0.000 0.500 0.500
K1 K 0.000 0.699 0.301
O2 O 0.000 0.275 0.046
Nb1 Nb 0.500 0.942 0.683
O3 O 0.500 0.500 0.000
O4 O 0.500 0.543 0.728
O5 O 0.500 0.272 0.457
Y1 Y 0.000 0.000 0.000
O6 O 0.500 0.000 0.500
O7 O 0.500 0.457 0.272
O8 O 0.500 0.835 0.165
Nb2 Nb 0.500 0.500 0.500
O9 O 0.000 0.725 0.954
O10 O 0.500 0.125 0.125
Nb3 Nb 0.500 0.683 0.942
Nb4 Nb 0.500 0.058 0.317
K2 K 0.000 0.301 0.699
O11 O 0.000 0.046 0.275
Nb5 Nb 0.500 0.317 0.058
O12 O 0.500 0.728 0.543
O13 O 0.000 0.954 0.725
O14 O 0.500 0.875 0.875
O15 O 0.500 0.165 0.835
# - E_tot (eV/atom) = -8.8129
# - N(E_F) (states/eV per cell) = 0.00
# - space group = No. 65

=====

# KNbRuPb2 (PBEsol, relaxed)
data_KNbRuPb2
_space_group_name_H-M_alt 'P 1'
_space_group_IT_number 1
_space_group_name_Hall 'P 1'
_cell_length_a 5.357
_cell_length_b 5.185
_cell_length_c 5.185
_cell_angle_alpha 90.00
_cell_angle_beta 90.00
_cell_angle_gamma 90.00
loop_
_atom_site_label
_atom_site_type_symbol
_atom_site_fract_x
_atom_site_fract_y
_atom_site_fract_z
Pb1 Pb 0.000 0.000 0.500
K1 K 0.500 0.000 0.000
Ru1 Ru 0.000 0.000 0.000
Pb2 Pb 0.000 0.500 0.000
Nb1 Nb 0.500 0.500 0.500
# - formation energy (kJ/mol of atoms) = 131.1
# - E_tot (eV/atom) = -4.6665
# - N(E_F) (states/eV per cell) = 7.75
# - space group = No. 123